# Mg2CdGa2Pd2 PBE optimized geometry
# Volume in A^3/atom: 24.780
# Calculated formation energy in eV/atom: -0.193
# DOS at the Fermi energy in states/eV/atom: 0.414
data_Mg2CdGa2Pd2
_chemical_formula_sum 'Mg2 Cd1 Ga2 Pd2'
_symmetry_space_group_name_H-M 'P -3 m 1'
_symmetry_Int_Tables_number 164
_symmetry_space_group_name_Hall '-P 3 2"'
_cell_length_a 4.1170
_cell_length_b 4.1170
_cell_length_c 11.8173
_cell_angle_alpha 90.00
_cell_angle_beta 90.00
_cell_angle_gamma 120.00
loop_
_atom_site_label
_atom_site_fract_x
_atom_site_fract_y
_atom_site_fract_z
Mg1 0.0000 0.0000 0.2466
Cd1 0.0000 0.0000 0.0000
Ga1 0.3333 0.6667 0.4247
Pd1 0.3333 0.6667 0.6441

# CeScTlOs PBE optimized geometry
# Volume in A^3/atom: 22.164
# Calculated formation energy in eV/atom: -0.354
# DOS at the Fermi energy in states/eV/atom: 0.788
data_CeScTlOs
_chemical_formula_sum 'Ce1 Sc1 Tl1 Os1'
_symmetry_space_group_name_H-M 'P 4 m m'
_symmetry_Int_Tables_number 99
_cell_length_a 3.291
_cell_length_b 3.291
_cell_length_c 8.188
_cell_angle_alpha 90.00
_cell_angle_beta 90.00
_cell_angle_gamma 90.00
loop_
_symmetry_equiv_pos_as_xyz
'x,y,z'
'-y,x,z'
'-x,-y,z'
'y,-x,z'
'-x,y,z'
'y,x,z'
'x,-y,z'
'-y,-x,z'
loop_
_atom_site_label
_atom_site_fract_x
_atom_site_fract_y
_atom_site_fract_z
Ce1 0.000 0.000 0.000
Sc1 0.000 0.000 0.590
Tl1 0.500 0.500 0.316
Os1 0.500 0.500 0.775

# DyHoNbN3 PBE optimized geometry
# Volume in A^3/atom: 13.374
# Energy relative to the elements, uncorrected in meV/atom: -1432
# DOS at the Fermi energy in states/eV/atom: 0.406
data_DyHoNbN3
_chemical_formula_sum 'Dy2 Ho2 Nb2 N6'
_symmetry_space_group_name_H-M 'P 1 21/m 1'
_symmetry_Int_Tables_number 11
_cell_length_a 5.747
_cell_length_b 3.328
_cell_length_c 8.613
_cell_angle_alpha 90.00
_cell_angle_beta 102.99
_cell_angle_gamma 90.00
loop_
_symmetry_equiv_pos_as_xyz
'x,y,z'
'-x,-y,-z'
'-x,y+1/2,-z'
'x,-y+1/2,z'
loop_
_atom_site_label
_atom_site_fract_x
_atom_site_fract_y
_atom_site_fract_z
Dy1 0.154 0.250 0.188
Ho1 0.270 0.750 0.548
Nb1 0.364 0.250 0.866
N1 0.059 0.250 0.680
N2 0.247 0.750 0.989
N3 0.453 0.750 0.329

Which of these has the highest DOS at the Fermi energy? CeScTlOs

Which value of DOS at the Fermi energy does entry 3 give? 0.406 states/eV/atom

Among the records above, which one has the lowest DOS at the Fermi energy? DyHoNbN3

What is the formula in the third record? DyHoNbN3